Entry from the Alexandria database: an optimized crystal structure of KSbTe2 (PBE).

The structure in CIF format:
```
data_KSbTe2
_chemical_formula_sum 'K1 Sb1 Te2'
_space_group_name_H-M_alt 'P 1'
_space_group_IT_number 1
_cell_length_a 3.314
_cell_length_b 6.264
_cell_length_c 6.489
_cell_angle_alpha 90.00
_cell_angle_beta 90.24
_cell_angle_gamma 90.00
loop_
_space_group_symop_operation_xyz
'x,y,z'
loop_
_atom_site_label
_atom_site_fract_x
_atom_site_fract_y
_atom_site_fract_z
_atom_site_occupancy
K1 0.000 0.000 0.000 1
Sb1 0.502 0.500 0.446 1
Te1 0.499 0.500 0.000 1
Te2 0.502 0.000 0.502 1
```

**Size of the total moment**: 0.000 μB per cell
**Formation energy without anion corrections**: -0.4254 eV per atom
**V**: 134.68 Å³/cell
**Fermi-level density of states**: 0.93 states/eV per cell